First-principles (PBE-GGA) data for a geometry-optimized Dy4N3O structure, as listed in the Alexandria database.

Summary:
Distance to the lowest polymorph of the same formula, meV per atom: 0
Formation energy from raw total energies, eV/atom: -2.076
Uncorrected energy, eV per cell: -64.95

a b c (Å): 5.9781 5.9781 3.4537
angles (deg): 90.00 90.00 109.38
Positions (direct):
Dy  0.2442  0.2442  0.5000
Dy  0.2477  0.7523  0.0000
Dy  0.7523  0.2477  0.0000
Dy  0.7558  0.7558  0.5000
N  0.0000  0.0000  0.0000
N  0.0000  0.5000  0.5000
N  0.5000  0.0000  0.5000
O  0.5000  0.5000  0.0000

First-principles (PBE-GGA) data for a geometry-optimized Dy3NO3 structure, as listed in the Alexandria database.

Summary:
Formation energy from raw total energies, eV/atom: -2.630
Uncorrected energy, eV per cell: -110.83

a b c (Å): 6.2644 6.2644 6.2020
angles (deg): 93.65 93.65 113.17
Positions (direct):
Dy  0.0947  0.0947  0.2639
Dy  0.2199  0.5290  0.7561
Dy  0.4710  0.7801  0.2439
Dy  0.5290  0.2199  0.7561
Dy  0.7801  0.4710  0.2439
Dy  0.9053  0.9053  0.7361
N  0.1977  0.1977  0.6153
N  0.8023  0.8023  0.3847
O  0.1718  0.8282  0.0000
O  0.2539  0.7461  0.5000
O  0.4028  0.4028  0.1671
O  0.5972  0.5972  0.8329
O  0.7461  0.2539  0.5000
O  0.8282  0.1718  0.0000

First-principles (PBE-GGA) data for a geometry-optimized Dy4NO4 structure, as listed in the Alexandria database.

Summary:
Formation energy from raw total energies, eV/atom: -2.723
Uncorrected energy, eV per cell: -71.07

a b c (Å): 6.4249 6.4249 6.4249
angles (deg): 128.91 128.91 75.15
Positions (direct):
Dy  0.1589  0.1589  0.5605
Dy  0.4017  0.8411  0.0000
Dy  0.5983  0.5983  0.4395
Dy  0.8411  0.4017  0.0000
N  0.5000  0.5000  0.0000
O  0.0000  0.5000  0.5000
O  0.2233  0.2233  0.0000
O  0.5000  0.0000  0.5000
O  0.7767  0.7767  0.0000

First-principles (PBE-GGA) data for a geometry-optimized Dy2NO structure, as listed in the Alexandria database.

Summary:
Distance to the lowest polymorph of the same formula, meV per atom: 149
Formation energy from raw total energies, eV/atom: -2.219
Uncorrected energy, eV per cell: -31.36

a b c (Å): 6.2280 6.2280 6.2280
angles (deg): 31.49 31.49 31.49
Positions (direct):
Dy  0.0000  0.0000  0.0000
Dy  0.1795  0.1795  0.1795
N  0.5919  0.5919  0.5919
O  0.4208  0.4208  0.4208

- What is the uncorrected energy in the first record?
  -64.95 eV per cell

- Which formula does entry 1 have?
  Dy4N3O